(A)
Material: TbTm4Mg
Method: DFT, PBE-GGA
State: relaxed

Unit cell a=6.012 b=6.012 c=11.683 alpha=75.21 beta=75.21 gamma=60.37
Fractional positions:
Tb1 0.000 0.500 0.000
Mg1 0.081 0.919 0.750
Tb2 0.500 0.000 0.500
Tm1 0.584 0.749 0.250
Tm2 0.834 0.331 0.499
Tm3 0.416 0.251 0.750
Tm4 0.669 0.166 0.001
Tm5 0.166 0.669 0.501
Mg2 0.919 0.081 0.250
Tm6 0.331 0.834 0.999
Tm7 0.251 0.416 0.250
Tm8 0.749 0.584 0.750

(B)
Material: TbTm4Mg
Method: DFT, PBE-GGA
State: relaxed

Unit cell a=3.511 b=3.511 c=14.279 alpha=90.00 beta=90.00 gamma=90.00
Fractional positions:
Tm1 0.500 0.500 0.825
Tm2 0.000 0.000 0.344
Tm3 0.500 0.500 0.175
Mg1 0.500 0.500 0.500
Tb1 0.000 0.000 0.000
Tm4 0.000 0.000 0.656

Tell me which of them is the most stable. Sure, it is (B).

(A)
Material: TbTm4Mg2
Method: DFT, PBE-GGA
State: relaxed

Unit cell a=5.157 b=5.157 c=10.578 alpha=75.89 beta=75.89 gamma=60.00
Fractional positions:
Mg1 0.600 0.600 0.199
Tm1 0.704 0.704 0.888
Tm2 0.106 0.106 0.682
Tb1 0.500 0.500 0.500
Tm3 0.296 0.296 0.112
Tm4 0.894 0.894 0.318
Mg2 0.400 0.400 0.801

(B)
Material: TbTm4Mg2
Method: DFT, PBE-GGA
State: relaxed

Unit cell a=3.429 b=3.472 c=17.258 alpha=95.77 beta=90.00 gamma=90.00
Fractional positions:
Tb1 0.000 0.500 0.000
Tm1 0.000 0.646 0.291
Tm2 0.000 0.354 0.709
Tm3 0.500 0.074 0.149
Mg1 0.500 0.787 0.575
Mg2 0.500 0.213 0.425
Tm4 0.500 0.926 0.851

Tell me which of them is the most stable. Sure, it is (B).

(A)
Material: Tb8TmMg2
Method: DFT, PBE-GGA
State: relaxed

Unit cell a=5.345 b=8.421 c=8.689 alpha=114.69 beta=107.91 gamma=90.00
Fractional positions:
Tb1 0.855 0.801 0.709
Mg1 0.227 0.627 0.455
Tb2 0.058 0.734 0.115
Tm1 0.500 0.000 0.000
Tb3 0.401 0.531 0.801
Tb4 0.942 0.266 0.885
Mg2 0.773 0.373 0.545
Tb5 0.145 0.199 0.291
Tb6 0.688 0.952 0.375
Tb7 0.312 0.048 0.625
Tb8 0.599 0.469 0.199

(B)
Material: Tb8TmMg2
Method: DFT, PBE-GGA
State: relaxed

Unit cell a=5.647 b=8.906 c=8.906 alpha=121.10 beta=102.54 gamma=102.54
Fractional positions:
Tb1 0.132 0.097 0.321
Tb2 0.500 0.211 0.789
Tb3 0.500 0.789 0.211
Tb4 0.868 0.679 0.903
Mg1 0.000 0.693 0.307
Tm1 0.500 0.000 0.000
Tb5 0.297 0.594 0.594
Tb6 0.868 0.903 0.679
Tb7 0.703 0.406 0.406
Mg2 0.000 0.307 0.693
Tb8 0.132 0.321 0.097

Tell me which of them is the most stable. Sure, it is (A).

(A)
Material: Tb4Tm5Mg
Method: DFT, PBE-GGA
State: relaxed

Unit cell a=3.525 b=3.525 c=24.273 alpha=90.00 beta=90.00 gamma=90.00
Fractional positions:
Tm1 0.500 0.500 0.295
Tm2 0.500 0.500 0.705
Tm3 0.500 0.500 0.909
Tb1 0.000 0.000 0.603
Tm4 0.500 0.500 0.091
Tb2 0.000 0.000 0.397
Tb3 0.000 0.000 0.192
Mg1 0.000 0.000 0.000
Tb4 0.000 0.000 0.808
Tm5 0.500 0.500 0.500

(B)
Material: Tb4Tm5Mg
Method: DFT, PBE-GGA
State: relaxed

Unit cell a=5.650 b=7.979 c=7.979 alpha=82.80 beta=69.27 gamma=69.27
Fractional positions:
Tb1 0.460 0.320 0.680
Tm1 0.767 0.371 0.000
Mg1 0.190 0.000 0.000
Tb2 0.140 0.320 0.320
Tb3 0.460 0.680 0.320
Tm2 0.138 0.000 0.629
Tm3 0.671 0.000 0.000
Tb4 0.780 0.680 0.680
Tm4 0.138 0.629 0.000
Tm5 0.767 0.000 0.371

Tell me which of them is the most stable. Sure, it is (A).

(A)
Material: Tb4Tm3Mg
Method: DFT, PBE-GGA
State: relaxed

Unit cell a=6.170 b=7.039 c=11.177 alpha=90.00 beta=90.00 gamma=90.00
Fractional positions:
Tb1 0.639 0.127 0.000
Tb2 0.162 0.875 0.000
Tm1 0.475 0.378 0.254
Tb3 0.487 0.870 0.744
Tb4 0.662 0.125 0.500
Tm2 0.475 0.378 0.746
Tb5 0.139 0.873 0.500
Tb6 0.987 0.130 0.756
Tm3 0.975 0.622 0.754
Mg1 0.149 0.383 0.000
Tm4 0.641 0.628 0.000
Tm5 0.975 0.622 0.246
Tb7 0.987 0.130 0.244
Tm6 0.141 0.372 0.500
Mg2 0.649 0.617 0.500
Tb8 0.487 0.870 0.256

(B)
Material: Tb4Tm3Mg
Method: DFT, PBE-GGA
State: relaxed

Unit cell a=3.540 b=3.540 c=19.275 alpha=90.00 beta=90.00 gamma=90.00
Fractional positions:
Tb1 0.000 0.000 0.628
Mg1 0.500 0.500 0.000
Tm1 0.500 0.500 0.500
Tb2 0.000 0.000 0.116
Tm2 0.500 0.500 0.758
Tb3 0.000 0.000 0.372
Tm3 0.500 0.500 0.242
Tb4 0.000 0.000 0.884

Tell me which of them is the most stable. Sure, it is (B).

(A)
Material: Tb7Tm2Mg2
Method: DFT, PBE-GGA
State: relaxed

Unit cell a=6.664 b=7.558 c=7.558 alpha=100.78 beta=104.39 gamma=104.39
Fractional positions:
Tb1 0.798 0.072 0.576
Tb2 0.516 0.330 0.330
Tb3 0.798 0.576 0.072
Mg1 0.972 0.656 0.656
Tb4 0.000 0.000 0.000
Mg2 0.028 0.344 0.344
Tm1 0.500 0.863 0.137
Tm2 0.500 0.137 0.863
Tb5 0.202 0.928 0.424
Tb6 0.484 0.670 0.670
Tb7 0.202 0.424 0.928

(B)
Material: Tb7Tm2Mg2
Method: DFT, PBE-GGA
State: relaxed

Unit cell a=5.678 b=8.076 c=8.076 alpha=85.58 beta=73.86 gamma=73.86
Fractional positions:
Tb1 0.671 0.776 0.776
Tb2 0.185 0.015 0.602
Tb3 0.000 0.000 0.000
Tb4 0.329 0.224 0.224
Tb5 0.815 0.398 0.985
Mg1 0.216 0.556 0.556
Tm1 0.500 0.220 0.780
Tm2 0.500 0.780 0.220
Tb6 0.185 0.602 0.015
Tb7 0.815 0.985 0.398
Mg2 0.784 0.444 0.444

Tell me which of them is the most stable. Sure, it is (B).

(A)
Material: Tb12Tm6Mg
Method: DFT, PBE-GGA
State: relaxed

Unit cell a=8.448 b=8.448 c=8.448 alpha=88.75 beta=88.75 gamma=88.75
Fractional positions:
Tb1 0.539 0.433 0.781
Tm1 0.901 0.291 0.739
Tb2 0.817 0.635 0.986
Tb3 0.219 0.461 0.567
Tb4 0.365 0.014 0.183
Tm2 0.261 0.099 0.709
Tb5 0.635 0.986 0.817
Tb6 0.567 0.219 0.461
Mg1 0.000 0.000 0.000
Tm3 0.739 0.901 0.291
Tm4 0.099 0.709 0.261
Tm5 0.709 0.261 0.099
Tb7 0.781 0.539 0.433
Tb8 0.986 0.817 0.635
Tb9 0.433 0.781 0.539
Tb10 0.461 0.567 0.219
Tm6 0.291 0.739 0.901
Tb11 0.014 0.183 0.365
Tb12 0.183 0.365 0.014

(B)
Material: Tb12Tm6Mg
Method: DFT, PBE-GGA
State: relaxed

Unit cell a=8.552 b=8.552 c=8.552 alpha=97.37 beta=97.37 gamma=97.37
Fractional positions:
Tm1 0.137 0.137 0.408
Tm2 0.592 0.863 0.863
Tb1 0.168 0.585 0.585
Tm3 0.137 0.408 0.137
Tb2 0.585 0.585 0.168
Tm4 0.863 0.863 0.592
Tm5 0.863 0.592 0.863
Tb3 0.262 0.738 0.000
Tb4 0.832 0.415 0.415
Tb5 0.585 0.168 0.585
Tb6 0.738 0.000 0.262
Tb7 0.000 0.262 0.738
Tb8 0.738 0.262 0.000
Tm6 0.408 0.137 0.137
Tb9 0.415 0.832 0.415
Tb10 0.415 0.415 0.832
Tb11 0.000 0.738 0.262
Mg1 0.000 0.000 0.000
Tb12 0.262 0.000 0.738

Tell me which of them is the most stable. Sure, it is (A).

(A)
Material: Tb6TmMg
Method: DFT, PBE-GGA
State: relaxed

Unit cell a=8.513 b=9.408 c=6.344 alpha=42.09 beta=47.81 gamma=56.36
Fractional positions:
Tb1 0.045 0.515 0.194
Tb2 0.246 0.044 0.224
Tb3 0.485 0.246 0.313
Tb4 0.955 0.485 0.806
Tb5 0.515 0.754 0.687
Tm1 0.500 0.500 0.500
Tb6 0.754 0.956 0.776
Mg1 0.000 0.000 0.000

(B)
Material: Tb6TmMg
Method: DFT, PBE-GGA
State: relaxed

Unit cell a=5.000 b=6.058 c=9.287 alpha=77.77 beta=74.38 gamma=65.63
Fractional positions:
Tb1 0.250 0.873 0.627
Tb2 0.501 0.248 0.749
Tb3 0.499 0.752 0.251
Mg1 0.000 0.000 0.000
Tb4 0.754 0.616 0.876
Tm1 0.000 0.500 0.500
Tb5 0.750 0.127 0.373
Tb6 0.246 0.384 0.124

Tell me which of them is the most stable. Sure, it is (B).

(A)
Material: TbTmMgZn
Method: DFT, PBE-GGA
State: relaxed

Unit cell a=5.171 b=5.171 c=5.171 alpha=60.00 beta=60.00 gamma=60.00
Fractional positions:
Tm1 0.250 0.250 0.250
Tb1 0.750 0.750 0.750
Zn1 0.000 0.000 0.000
Mg1 0.500 0.500 0.500

(B)
Material: TbTmMgZn
Method: DFT, PBE-GGA
State: relaxed

Unit cell a=3.554 b=3.554 c=7.857 alpha=90.00 beta=90.00 gamma=90.00
Fractional positions:
Tb1 0.000 0.000 0.884
Zn1 0.500 0.500 0.115
Mg1 0.500 0.500 0.601
Tm1 0.000 0.000 0.328

Tell me which of them is the most stable. Sure, it is (B).

(A)
Material: Tb2Y6Mg
Method: DFT, PBE-GGA
State: relaxed

Unit cell a=5.062 b=10.560 c=10.560 alpha=90.00 beta=89.99 gamma=90.00
Fractional positions:
Y1 0.500 0.836 0.335
Y2 0.500 0.832 0.001
Tb1 0.000 0.668 0.168
Y3 0.500 0.499 0.668
Tb2 0.000 0.332 0.832
Y4 0.500 0.501 0.332
Y5 0.500 0.164 0.665
Y6 0.000 0.336 0.165
Mg1 0.000 0.000 0.500
Y7 0.000 0.332 0.499
Tb3 0.500 0.168 0.332
Y8 0.000 0.001 0.168
Mg2 0.500 0.500 0.000
Y9 0.000 0.668 0.501
Y10 0.000 0.999 0.832
Y11 0.500 0.168 0.999
Y12 0.000 0.664 0.835
Tb4 0.500 0.832 0.668

(B)
Material: Tb2Y6Mg
Method: DFT, PBE-GGA
State: relaxed

Unit cell a=3.467 b=5.906 c=17.088 alpha=114.64 beta=84.18 gamma=72.93
Fractional positions:
Y1 0.774 0.178 0.274
Mg1 0.500 0.500 0.500
Y2 0.101 0.198 0.600
Y3 0.564 0.811 0.062
Tb1 0.167 0.495 0.171
Y4 0.436 0.189 0.938
Y5 0.226 0.822 0.726
Tb2 0.833 0.505 0.829
Y6 0.899 0.802 0.400

Tell me which of them is the most stable. Sure, it is (A).